Entry 1:
## Be4ZnCu8 (GGA-PBE)

Data for an optimized crystal structure of Be4ZnCu8.

abc: 4.5440 6.0762 6.0762
angles: 81.96 68.04 68.04
Closest atoms and distances in Å follow each position.
Sites, in units of the cell vectors:
Cu (0.5000, 0.7828, 0.2172)  4 Be 2.31, 6 Cu 2.45-2.57
Cu (0.0000, 0.6558, 0.3442)  4 Be 2.41, 5 Cu 2.48-2.57
Be (0.5000, 0.5000, 0.0000)  2 Be 2.27, 8 Cu 2.31-2.41
Cu (0.5000, 0.2172, 0.7828)  4 Be 2.31, 6 Cu 2.45-2.57
Cu (0.7172, 0.7828, 0.7828)  4 Be 2.31, 6 Cu 2.45-2.57
Cu (0.2828, 0.2172, 0.2172)  4 Be 2.31, 6 Cu 2.45-2.57
Be (0.0000, 0.0000, 0.5000)  2 Be 2.27, 8 Cu 2.31-2.41
Zn (0.0000, 0.0000, 0.0000)  12 Cu 2.74-2.86, 8 Be 3.04
Be (0.5000, 0.0000, 0.5000)  2 Be 2.27, 8 Cu 2.31-2.41
Be (0.0000, 0.5000, 0.0000)  2 Be 2.27, 8 Cu 2.31-2.41
Cu (0.3442, 0.6558, 0.6558)  4 Be 2.41, 5 Cu 2.48-2.57
Cu (0.0000, 0.3442, 0.6558)  4 Be 2.41, 5 Cu 2.48-2.57
Cu (0.6558, 0.3442, 0.3442)  4 Be 2.41, 5 Cu 2.48-2.57

Energy of formation = -0.018 eV/atom
Magnetic moment = 0.00 μB/atom



Entry 2:
## BeZn2Cu6 (GGA-PBE)

Data for an optimized crystal structure of BeZn2Cu6.

abc: 2.5173 6.9956 7.2133
angles: 119.01 90.08 90.00
Closest atoms and distances in Å follow each position.
Sites, in units of the cell vectors:
Cu (0.5000, 0.6941, 0.0000)  2 Be 2.48, 7 Cu 2.52-2.72, 2 Zn 2.65
Zn (0.5003, 0.3197, 0.6394)  2 Zn 2.52, 10 Cu 2.61-2.69
Cu (0.9981, 0.0162, 0.6820)  1 Be 2.35, 6 Cu 2.45-2.54, 2 Zn 2.61
Be (0.0000, 0.0000, 0.0000)  8 Cu 2.35-2.48, 2 Be 2.52
Cu (0.0019, 0.3342, 0.3180)  1 Be 2.35, 6 Cu 2.45-2.54, 2 Zn 2.61
Cu (0.5000, 0.3059, 0.0000)  2 Be 2.48, 7 Cu 2.52-2.72, 2 Zn 2.65
Cu (0.0019, 0.9838, 0.3180)  1 Be 2.35, 6 Cu 2.45-2.54, 2 Zn 2.61
Cu (0.9981, 0.6658, 0.6820)  1 Be 2.35, 6 Cu 2.45-2.54, 2 Zn 2.61
Zn (0.4997, 0.6803, 0.3606)  2 Zn 2.52, 10 Cu 2.61-2.69

Distance to the lowest polymorph of the same formula = 0.021 eV per atom
Energy of formation = 0.026 eV/atom
Magnetic moment = 0.00 μB/atom



Entry 3:
## BeZnCu2 (GGA-PBE)

Data for an optimized crystal structure of BeZnCu2.

abc: 4.6806 4.6806 4.6806
angles: 143.89 129.67 63.50
Closest atoms and distances in Å follow each position.
Sites, in units of the cell vectors:
Cu (0.9815, 0.9815, 0.0000)  2 Be 2.30, 4 Zn 2.48, 2 Cu 2.56
Cu (0.2472, 0.7472, 0.5000)  4 Be 2.46, 4 Cu 2.56-2.73, 4 Zn 2.57-2.72
Be (0.7578, 0.2578, 0.5000)  6 Cu 2.30-2.46, 2 Zn 2.43
Zn (0.5135, 0.5135, 0.0000)  2 Be 2.43, 6 Cu 2.48-2.57

Distance to the lowest polymorph of the same formula = 0.066 eV per atom
Energy of formation = -0.021 eV/atom
Magnetic moment = 0.00 μB/atom



Entry 4:
## BeZn2Cu (GGA-PBE)

Data for an optimized crystal structure of BeZn2Cu.

abc: 8.5005 8.5005 8.5005
angles: 17.70 17.70 17.70
Closest atoms and distances in Å follow each position.
Sites, in units of the cell vectors:
Zn (0.5025, 0.5025, 0.5025)  3 Be 2.53, 6 Zn 2.62, 3 Cu 2.63
Zn (0.9975, 0.9975, 0.9975)  3 Be 2.53, 6 Zn 2.62, 3 Cu 2.63
Be (0.2500, 0.2500, 0.2500)  6 Zn 2.53, 6 Be 2.62
Cu (0.7500, 0.7500, 0.7500)  6 Cu 2.62, 6 Zn 2.63

Energy of formation = 0.111 eV/atom
Magnetic moment = 0.00 μB/atom